1.
The following is a DFT calculation (PBE-GGA) of Sr2CuSb3Rh4 after structural relaxation.

The energy relative to the elements, uncorrected comes out at -0.615 eV per atom. The density of states at the Fermi level comes out at 7.370 states/eV/cell. The calculation puts the total energy at -5.539 eV/atom.

The structure belongs to space group P-4m2 (No. 115); the cell edges are 4.4136, 4.4136 and 10.9854 Å and the angles 90.00°, 90.00° and 90.00°. The asymmetric unit holds Sr at (0.0000, 0.5000, 0.2386), Cu at (0.5000, 0.5000, 0.0000), Sb at (0.0000, 0.0000, 0.0000), Sb at (0.0000, 0.5000, 0.6344), Rh at (0.0000, 0.0000, 0.5000), Rh at (0.0000, 0.5000, 0.8727) and Rh at (0.5000, 0.5000, 0.5000).

=====

2.
The following is a DFT calculation (PBE-GGA) of Sr2CuSb4Rh3 after structural relaxation.

The energy relative to the elements, uncorrected comes out at -0.637 eV per atom. The density of states at the Fermi level comes out at 5.419 states/eV/cell. The calculation puts the total energy at -5.237 eV/atom.

The structure belongs to space group P-4m2 (No. 115); the cell edges are 4.6199, 4.6199 and 10.6546 Å and the angles 90.00°, 90.00° and 90.00°. The asymmetric unit holds Sr at (0.0000, 0.5000, 0.2444), Cu at (0.5000, 0.5000, 0.0000), Sb at (0.0000, 0.0000, 0.5000), Sb at (0.0000, 0.5000, 0.8719), Sb at (0.5000, 0.5000, 0.5000), Rh at (0.0000, 0.0000, 0.0000) and Rh at (0.0000, 0.5000, 0.6232).

=====

3.
The following is a DFT calculation (PBE-GGA) of Ta2CuSbRh after structural relaxation.

The energy relative to the elements, uncorrected comes out at 1.195 eV per atom. The density of states at the Fermi level comes out at 5.736 states/eV/cell. The calculation puts the total energy at -6.660 eV/atom.

The structure belongs to space group P4/mmm (No. 123); the cell edges are 4.6636, 4.6636 and 4.5726 Å and the angles 90.00°, 90.00° and 90.00°. The asymmetric unit holds Ta at (0.0000, 0.5000, 0.0000), Cu at (0.0000, 0.0000, 0.0000), Sb at (0.0000, 0.0000, 0.5000) and Rh at (0.5000, 0.5000, 0.5000).

=====

4.
The following is a DFT calculation (PBE-GGA) of CuSbTe2Rh after structural relaxation.

The energy relative to the elements, uncorrected comes out at 0.586 eV per atom. The density of states at the Fermi level comes out at 5.346 states/eV/cell. The calculation puts the total energy at -3.785 eV/atom. The value obtained for the energy above the lowest structure with this stoichiometry is 0.0 meV per atom.

The structure belongs to space group P4/mmm (No. 123); the cell edges are 5.3488, 5.3488 and 4.9368 Å and the angles 90.00°, 90.00° and 90.00°. The asymmetric unit holds Cu at (0.0000, 0.0000, 0.0000), Sb at (0.5000, 0.5000, 0.0000), Te at (0.0000, 0.5000, 0.5000) and Rh at (0.5000, 0.5000, 0.5000).

=====

5.
The following is a DFT calculation (PBE-GGA) of CuSb2TeRh after structural relaxation.

The energy relative to the elements, uncorrected comes out at 0.563 eV per atom. The density of states at the Fermi level comes out at 4.041 states/eV/cell. The calculation puts the total energy at -4.004 eV/atom. The value obtained for the energy above the lowest structure with this stoichiometry is 0.0 meV per atom.

The structure belongs to space group P4/mmm (No. 123); the cell edges are 5.0183, 5.0183 and 5.5446 Å and the angles 90.00°, 90.00° and 90.00°. The asymmetric unit holds Cu at (0.0000, 0.0000, 0.0000), Sb at (0.0000, 0.5000, 0.5000), Te at (0.5000, 0.5000, 0.0000) and Rh at (0.5000, 0.5000, 0.5000).

=====

6.
The following is a DFT calculation (PBE-GGA) of Th2CuSb3Rh4 after structural relaxation.

The energy relative to the elements, uncorrected comes out at -0.719 eV per atom. The density of states at the Fermi level comes out at 6.535 states/eV/cell. The calculation puts the total energy at -6.790 eV/atom.

The structure belongs to space group P-4m2 (No. 115); the cell edges are 4.3250, 4.3250 and 10.9669 Å and the angles 90.00°, 90.00° and 90.00°. The asymmetric unit holds Th at (0.0000, 0.5000, 0.2387), Cu at (0.5000, 0.5000, 0.0000), Sb at (0.0000, 0.0000, 0.0000), Sb at (0.0000, 0.5000, 0.6357), Rh at (0.0000, 0.0000, 0.5000), Rh at (0.0000, 0.5000, 0.8675) and Rh at (0.5000, 0.5000, 0.5000).